Record 1
# CrSi2Ni

A geometry-optimized CrSi2Ni structure (PBE, Alexandria via LeMat-Bulk).

The structure in CIF format:
```
data_CrSi2Ni
_chemical_formula_sum 'Cr2 Si4 Ni2'
_space_group_name_H-M_alt 'I m m 2'
_space_group_IT_number 44
_cell_length_a 3.225
_cell_length_b 3.551
_cell_length_c 8.163
_cell_angle_alpha 90.00
_cell_angle_beta 90.00
_cell_angle_gamma 90.00
loop_
_space_group_symop_operation_xyz
'x,y,z'
'-x,-y,z'
'-x,y,z'
'x,-y,z'
'x+1/2,y+1/2,z+1/2'
'-x+1/2,-y+1/2,z+1/2'
'-x+1/2,y+1/2,z+1/2'
'x+1/2,-y+1/2,z+1/2'
loop_
_atom_site_label
_atom_site_type_symbol
_atom_site_fract_x
_atom_site_fract_y
_atom_site_fract_z
_atom_site_occupancy
Cr1 Cr 0.000 0.000 0.000 1
Si1 Si 0.000 0.000 0.477 1
Si2 Si 0.000 0.500 0.242 1
Ni1 Ni 0.000 0.500 0.757 1
```

Calculated values
* uncorrected formation energy: -0.276 eV per atom
* mass density: 5.929 g/cm³



Record 2
# CrSi2Ni

A geometry-optimized CrSi2Ni structure (PBE, Alexandria via LeMat-Bulk).

The structure in CIF format:
```
data_CrSi2Ni
_chemical_formula_sum 'Cr3 Si6 Ni3'
_space_group_name_H-M_alt 'R 3 m'
_space_group_IT_number 160
_space_group_name_Hall 'R 3 -2"'
_cell_length_a 2.7378
_cell_length_b 2.7378
_cell_length_c 22.8861
_cell_angle_alpha 90.00
_cell_angle_beta 90.00
_cell_angle_gamma 120.00
loop_
_atom_site_label
_atom_site_type_symbol
_atom_site_fract_x
_atom_site_fract_y
_atom_site_fract_z
_atom_site_occupancy
Cr1 Cr 0.0000 0.0000 0.0000 1
Si1 Si 0.0000 0.0000 0.5034 1
Si2 Si 0.0000 0.0000 0.7469 1
Ni1 Ni 0.0000 0.0000 0.2441 1
```

Calculated values
* uncorrected formation energy: 0.059 eV per atom
* mass density: 5.595 g/cm³



Record 3
# CrSiNi6

A geometry-optimized CrSiNi6 structure (PBE, Alexandria via LeMat-Bulk).

The structure in CIF format:
```
data_CrSiNi6
_chemical_formula_sum 'Cr2 Si2 Ni12'
_space_group_name_H-M_alt 'I 4/m m m'
_space_group_IT_number 139
_space_group_name_Hall '-I 4 2'
_cell_length_a 3.592
_cell_length_b 3.592
_cell_length_c 13.809
_cell_angle_alpha 90.00
_cell_angle_beta 90.00
_cell_angle_gamma 90.00
loop_
_atom_site_label
_atom_site_type_symbol
_atom_site_fract_x
_atom_site_fract_y
_atom_site_fract_z
_atom_site_occupancy
Cr1 Cr 0.000 0.000 0.000 1
Si1 Si 0.000 0.000 0.500 1
Ni1 Ni 0.000 0.000 0.250 1
Ni2 Ni 0.000 0.500 0.123 1
```

Calculated values
* uncorrected formation energy: -0.143 eV per atom
* mass density: 8.058 g/cm³



Record 4
# Cr2SiNi

A geometry-optimized Cr2SiNi structure (PBE, Alexandria via LeMat-Bulk).

The structure in CIF format:
```
data_Cr2SiNi
_chemical_formula_sum 'Cr2 Si1 Ni1'
_space_group_name_H-M_alt 'P m m m'
_space_group_IT_number 47
_cell_length_a 3.081
_cell_length_b 3.693
_cell_length_c 3.998
_cell_angle_alpha 90.00
_cell_angle_beta 90.00
_cell_angle_gamma 90.00
loop_
_space_group_symop_operation_xyz
'x,y,z'
'-x,-y,-z'
'-x,-y,z'
'x,y,-z'
'x,-y,-z'
'-x,y,z'
'-x,y,-z'
'x,-y,z'
loop_
_atom_site_label
_atom_site_type_symbol
_atom_site_fract_x
_atom_site_fract_y
_atom_site_fract_z
_atom_site_occupancy
Cr1 Cr 0.000 0.000 0.000 1
Cr2 Cr 0.500 0.500 0.000 1
Si1 Si 0.000 0.500 0.500 1
Ni1 Ni 0.500 0.000 0.500 1
```

Calculated values
* uncorrected formation energy: -0.220 eV per atom
* mass density: 6.964 g/cm³



Record 5
# CrSi2Ni

A geometry-optimized CrSi2Ni structure (PBE, Alexandria via LeMat-Bulk).

The structure in CIF format:
```
data_CrSi2Ni
_chemical_formula_sum 'Cr4 Si8 Ni4'
_space_group_name_H-M_alt 'I -4 2 d'
_space_group_IT_number 122
_space_group_name_Hall 'I -4 2bw'
_cell_length_a 6.263
_cell_length_b 6.263
_cell_length_c 5.338
_cell_angle_alpha 90.00
_cell_angle_beta 90.00
_cell_angle_gamma 90.00
loop_
_atom_site_label
_atom_site_type_symbol
_atom_site_fract_x
_atom_site_fract_y
_atom_site_fract_z
_atom_site_occupancy
Cr1 Cr 0.000 0.000 0.000 1
Si1 Si 0.226 0.250 0.625 1
Ni1 Ni 0.000 0.000 0.500 1
```

Calculated values
* uncorrected formation energy: 0.218 eV per atom
* mass density: 5.293 g/cm³



Record 6
# Cr2SiNi

A geometry-optimized Cr2SiNi structure (PBE, Alexandria via LeMat-Bulk).

The structure in CIF format:
```
data_Cr2SiNi
_chemical_formula_sum 'Cr4 Si2 Ni2'
_space_group_name_H-M_alt 'C 1 m 1'
_space_group_IT_number 8
_cell_length_a 8.250
_cell_length_b 2.516
_cell_length_c 4.468
_cell_angle_alpha 90.00
_cell_angle_beta 97.24
_cell_angle_gamma 90.00
loop_
_space_group_symop_operation_xyz
'x,y,z'
'x,-y,z'
'x+1/2,y+1/2,z'
'x+1/2,-y+1/2,z'
loop_
_atom_site_label
_atom_site_type_symbol
_atom_site_fract_x
_atom_site_fract_y
_atom_site_fract_z
_atom_site_occupancy
Cr1 Cr 0.000 0.000 0.000 1
Cr2 Cr 0.238 0.000 0.785 1
Si1 Si 0.250 0.500 0.288 1
Ni1 Ni 0.491 0.000 0.493 1
```

Calculated values
* uncorrected formation energy: -0.103 eV per atom
* mass density: 6.886 g/cm³



Number 1 is which compound? CrSi2Ni



Repeat the third record exactly.
# CrSiNi6

A geometry-optimized CrSiNi6 structure (PBE, Alexandria via LeMat-Bulk).

The structure in CIF format:
```
data_CrSiNi6
_chemical_formula_sum 'Cr2 Si2 Ni12'
_space_group_name_H-M_alt 'I 4/m m m'
_space_group_IT_number 139
_space_group_name_Hall '-I 4 2'
_cell_length_a 3.592
_cell_length_b 3.592
_cell_length_c 13.809
_cell_angle_alpha 90.00
_cell_angle_beta 90.00
_cell_angle_gamma 90.00
loop_
_atom_site_label
_atom_site_type_symbol
_atom_site_fract_x
_atom_site_fract_y
_atom_site_fract_z
_atom_site_occupancy
Cr1 Cr 0.000 0.000 0.000 1
Si1 Si 0.000 0.000 0.500 1
Ni1 Ni 0.000 0.000 0.250 1
Ni2 Ni 0.000 0.500 0.123 1
```

Calculated values
* uncorrected formation energy: -0.143 eV per atom
* mass density: 8.058 g/cm³